Entry 1:
A plane-wave DFT calculation with PBE was carried out for a relaxed KBaPb2 crystal. Values from VASP.

Cell and atoms, written as Quantum ESPRESSO input:
```
&SYSTEM
  ibrav = 0, nat = 4, ntyp = 3
/
ATOMIC_SPECIES
Ba 137.33 Ba.upf
K 39.10 K.upf
Pb 207.20 Pb.upf
ATOMIC_POSITIONS crystal
Ba 0.750 0.250 0.500
K 0.250 0.750 0.500
Pb 0.000 0.000 0.000
Pb 0.500 0.500 0.000
CELL_PARAMETERS angstrom
6.518 -0.001 -0.005
2.292 6.102 0.005
-4.402 -3.055 3.712
```

SG: I4/mmm
volume: 147.6 Å³/f.u.
energy above the most stable polymorph in this dataset: 117.6 meV/atom
formation energy: -260 meV per atom
magnetization: 0.00 μB/f.u.


Entry 2:
A plane-wave DFT calculation with PBE was carried out for a relaxed Nd2CoS crystal. Values from VASP.

Cell and atoms, written as Quantum ESPRESSO input:
```
&SYSTEM
  ibrav = 0, nat = 8, ntyp = 3
/
ATOMIC_SPECIES
S 32.06 S.upf
Nd 144.24 Nd.upf
Co 58.93 Co.upf
ATOMIC_POSITIONS crystal
S 0.250 0.190 0.381
S 0.750 0.810 0.619
Nd 0.750 0.689 0.378
Nd 0.750 0.933 0.865
Nd 0.250 0.311 0.622
Nd 0.250 0.067 0.135
Co 0.250 0.477 0.955
Co 0.750 0.523 0.045
CELL_PARAMETERS angstrom
-1.632 -3.617 -0.537
1.761 -1.304 3.434
-10.290 3.993 4.376
```

SG: Cmcm
calculated total energy: -6.23 eV per atom
volume: 95.4 Å³/f.u.
magnetization: 0.52 μB/f.u.


Entry 3:
A plane-wave DFT calculation with PBE was carried out for a relaxed La3ScCr crystal. Values from VASP.

Cell and atoms, written as Quantum ESPRESSO input:
```
&SYSTEM
  ibrav = 0, nat = 5, ntyp = 3
/
ATOMIC_SPECIES
La 138.91 La.upf
Cr 52.00 Cr.upf
Sc 44.96 Sc.upf
ATOMIC_POSITIONS crystal
La 0.500 0.000 0.000
La 0.000 0.500 0.000
La 0.000 0.000 0.500
Cr 0.000 0.000 0.000
Sc 0.500 0.500 0.500
CELL_PARAMETERS angstrom
5.388 0.000 0.000
0.000 5.388 0.000
0.000 0.000 5.388
```

SG: Pm-3m
volume: 156.4 Å³/f.u.
energy above the most stable polymorph in this dataset: 0.0 meV/atom
formation energy: 419 meV per atom
magnetization: 0.55 μB/f.u.


Entry 4:
A plane-wave DFT calculation with PBE was carried out for a relaxed Li2La2H crystal. Values from VASP.

Cell and atoms, written as Quantum ESPRESSO input:
```
&SYSTEM
  ibrav = 0, nat = 10, ntyp = 3
/
ATOMIC_SPECIES
Li 6.94 Li.upf
La 138.91 La.upf
H 1.01 H.upf
ATOMIC_POSITIONS crystal
Li 0.352 0.148 0.500
Li 0.648 0.852 0.500
Li 0.852 0.352 0.500
Li 0.148 0.648 0.500
La 0.673 0.173 0.000
La 0.173 0.327 0.000
La 0.327 0.827 0.000
La 0.827 0.673 0.000
H 0.000 0.000 0.000
H 0.500 0.500 0.000
CELL_PARAMETERS angstrom
-5.478 -1.958 -3.445
3.672 -0.297 -5.669
1.271 -5.515 1.112
```

SG: P4/mbm
calculated total energy: -3.34 eV per atom
volume: 131.8 Å³/f.u.
magnetization: 0.00 μB/f.u.


Entry 5:
A plane-wave DFT calculation with PBE was carried out for a relaxed LiBeInSn2 crystal. Values from VASP.

Cell and atoms, written as Quantum ESPRESSO input:
```
&SYSTEM
  ibrav = 0, nat = 5, ntyp = 4
/
ATOMIC_SPECIES
Sn 118.71 Sn.upf
Be 9.01 Be.upf
In 114.82 In.upf
Li 6.94 Li.upf
ATOMIC_POSITIONS crystal
Sn 0.500 0.000 0.000
Sn 0.000 0.500 0.000
Be 0.500 0.500 0.500
In 0.000 0.000 0.500
Li 0.000 0.000 0.000
CELL_PARAMETERS angstrom
5.104 0.000 0.000
0.000 5.104 0.000
0.000 0.000 5.003
```

SG: P4/mmm
volume: 130.3 Å³/f.u.
formation energy: 651 meV per atom
magnetization: 0.00 μB/f.u.


Entry 6:
A plane-wave DFT calculation with PBE was carried out for a relaxed Pm8Ge2Ru crystal. Values from VASP.

Cell and atoms, written as Quantum ESPRESSO input:
```
&SYSTEM
  ibrav = 0, nat = 11, ntyp = 3
/
ATOMIC_SPECIES
Pm 145.00 Pm.upf
Ge 72.64 Ge.upf
Ru 101.07 Ru.upf
ATOMIC_POSITIONS crystal
Pm 0.783 0.661 0.566
Pm 0.014 0.779 0.028
Pm 0.217 0.339 0.434
Pm 0.596 0.496 0.192
Pm 0.986 0.221 0.972
Pm 0.349 0.992 0.698
Pm 0.404 0.504 0.808
Pm 0.651 0.008 0.302
Ge 0.819 0.245 0.638
Ge 0.181 0.755 0.362
Ru 0.500 0.000 0.000
CELL_PARAMETERS angstrom
-4.396 0.551 1.641
1.271 -4.915 5.055
4.884 7.500 3.762
```

SG: C2/m
volume: 313.9 Å³/f.u.
formation energy: -350 meV per atom
magnetization: 0.00 μB/f.u.


Entry 7:
A plane-wave DFT calculation with PBE was carried out for a relaxed ZnHg2Rh crystal. Values from VASP.

Cell and atoms, written as Quantum ESPRESSO input:
```
&SYSTEM
  ibrav = 0, nat = 8, ntyp = 3
/
ATOMIC_SPECIES
Hg 200.59 Hg.upf
Zn 65.41 Zn.upf
Rh 102.91 Rh.upf
ATOMIC_POSITIONS crystal
Hg 0.375 0.379 0.750
Hg 0.875 0.871 0.750
Hg 0.129 0.625 0.250
Hg 0.621 0.125 0.250
Zn 0.250 0.750 0.500
Zn 0.500 0.500 0.000
Rh 0.000 0.000 0.000
Rh 0.750 0.250 0.500
CELL_PARAMETERS angstrom
7.466 0.000 0.000
0.000 7.466 0.000
3.733 3.733 2.790
```

SG: I-42d
volume: 77.8 Å³/f.u.
formation energy: 255 meV per atom
magnetization: 0.00 μB/f.u.


Entry 8:
A plane-wave DFT calculation with PBE was carried out for a relaxed NaNdTlIn crystal. Values from VASP.

Cell and atoms, written as Quantum ESPRESSO input:
```
&SYSTEM
  ibrav = 0, nat = 4, ntyp = 4
/
ATOMIC_SPECIES
Na 22.99 Na.upf
Tl 204.38 Tl.upf
In 114.82 In.upf
Nd 144.24 Nd.upf
ATOMIC_POSITIONS crystal
Na 0.000 0.000 0.000
Tl 0.250 0.250 0.250
In 0.750 0.750 0.750
Nd 0.500 0.500 0.500
CELL_PARAMETERS angstrom
5.411 0.000 0.000
2.705 4.686 0.000
2.705 1.562 4.418
```

SG: F-43m
volume: 112.0 Å³/f.u.
formation energy: -283 meV per atom
magnetization: 0.00 μB/f.u.


Entry 9:
A plane-wave DFT calculation with PBE was carried out for a relaxed YCrTc crystal. Values from VASP.

Cell and atoms, written as Quantum ESPRESSO input:
```
&SYSTEM
  ibrav = 0, nat = 3, ntyp = 3
/
ATOMIC_SPECIES
Tc 98.00 Tc.upf
Cr 52.00 Cr.upf
Y 88.91 Y.upf
ATOMIC_POSITIONS crystal
Tc 0.366 0.366 0.634
Cr 0.969 0.969 0.031
Y 0.666 0.666 0.334
CELL_PARAMETERS angstrom
5.936 0.002 -0.002
5.115 3.013 -0.003
0.821 0.225 3.002
```

SG: I4mm
volume: 53.7 Å³/f.u.
energy above the most stable polymorph in this dataset: 145.1 meV/atom
formation energy: 189 meV per atom
magnetization: 0.00 μB/f.u.


Entry 10:
A plane-wave DFT calculation with PBE was carried out for a relaxed KRe2Sb crystal. Values from VASP.

Cell and atoms, written as Quantum ESPRESSO input:
```
&SYSTEM
  ibrav = 0, nat = 4, ntyp = 3
/
ATOMIC_SPECIES
Sb 121.76 Sb.upf
Re 186.21 Re.upf
K 39.10 K.upf
ATOMIC_POSITIONS crystal
Sb 0.500 0.000 0.500
Re 0.500 0.500 0.000
Re 0.000 0.000 0.000
K 0.000 0.500 0.500
CELL_PARAMETERS angstrom
-0.171 1.512 -2.930
2.268 -3.520 -1.948
-4.504 -2.370 -0.961
```

SG: Pmmm
calculated total energy: -5.98 eV per atom
volume: 79.0 Å³/f.u.
magnetization: 0.00 μB/f.u.


Entry 11:
A plane-wave DFT calculation with PBE was carried out for a relaxed Ba2SrLiN crystal. Values from VASP.

Cell and atoms, written as Quantum ESPRESSO input:
```
&SYSTEM
  ibrav = 0, nat = 5, ntyp = 4
/
ATOMIC_SPECIES
Ba 137.33 Ba.upf
N 14.01 N.upf
Sr 87.62 Sr.upf
Li 6.94 Li.upf
ATOMIC_POSITIONS crystal
Ba 0.000 0.500 0.000
Ba 0.500 0.000 0.000
N 0.000 0.000 0.000
Sr 0.000 0.000 0.500
Li 0.500 0.500 0.500
CELL_PARAMETERS angstrom
-1.311 4.482 -3.378
-4.216 -3.076 -2.446
-3.437 1.776 3.692
```

SG: P4/mmm
calculated total energy: -3.33 eV per atom
volume: 177.7 Å³/f.u.
magnetization: 0.00 μB/f.u.


Entry 12:
A plane-wave DFT calculation with PBE was carried out for a relaxed LaBeTl2 crystal. Values from VASP.

Cell and atoms, written as Quantum ESPRESSO input:
```
&SYSTEM
  ibrav = 0, nat = 4, ntyp = 3
/
ATOMIC_SPECIES
Tl 204.38 Tl.upf
Be 9.01 Be.upf
La 138.91 La.upf
ATOMIC_POSITIONS crystal
Tl 0.000 0.438 0.438
Tl 0.000 0.062 0.062
Be 0.500 0.250 0.250
La 0.500 0.750 0.750
CELL_PARAMETERS angstrom
-0.434 2.672 3.396
-4.921 -0.889 0.070
-0.590 -3.949 3.032
```

SG: P2/m
volume: 105.0 Å³/f.u.
energy above the most stable polymorph in this dataset: 70.1 meV/atom
formation energy: 56 meV per atom
magnetization: 0.00 μB/f.u.


Entry 13:
A plane-wave DFT calculation with PBE was carried out for a relaxed SrScGa crystal. Values from VASP.

Cell and atoms, written as Quantum ESPRESSO input:
```
&SYSTEM
  ibrav = 0, nat = 6, ntyp = 3
/
ATOMIC_SPECIES
Sc 44.96 Sc.upf
Sr 87.62 Sr.upf
Ga 69.72 Ga.upf
ATOMIC_POSITIONS crystal
Sc 0.544 0.629 0.542
Sc 0.544 0.063 0.673
Sr 0.044 0.716 0.108
Sr 0.544 0.227 0.108
Ga 0.044 0.887 0.542
Ga 0.044 0.322 0.673
CELL_PARAMETERS angstrom
4.589 0.000 0.000
0.000 6.440 0.004
0.000 3.218 5.966
```

SG: Amm2
volume: 88.1 Å³/f.u.
energy above the most stable polymorph in this dataset: 153.0 meV/atom
formation energy: -233 meV per atom
magnetization: 0.00 μB/f.u.


Entry 14:
A plane-wave DFT calculation with PBE was carried out for a relaxed LuMnCoCu crystal. Values from VASP.

Cell and atoms, written as Quantum ESPRESSO input:
```
&SYSTEM
  ibrav = 0, nat = 4, ntyp = 4
/
ATOMIC_SPECIES
Lu 174.97 Lu.upf
Cu 63.55 Cu.upf
Co 58.93 Co.upf
Mn 54.94 Mn.upf
ATOMIC_POSITIONS crystal
Lu 0.000 0.000 0.000
Cu 0.250 0.250 0.250
Co 0.750 0.750 0.750
Mn 0.500 0.500 0.500
CELL_PARAMETERS angstrom
-0.967 -2.522 3.521
-1.843 -3.997 -0.572
2.359 -3.669 0.817
```

SG: F-43m
volume: 61.8 Å³/f.u.
formation energy: -31 meV per atom
magnetization: 4.65 μB/f.u.


Entry 15:
A plane-wave DFT calculation with PBE was carried out for a relaxed Li2InW crystal. Values from VASP.

Cell and atoms, written as Quantum ESPRESSO input:
```
&SYSTEM
  ibrav = 0, nat = 4, ntyp = 3
/
ATOMIC_SPECIES
W 183.84 W.upf
Li 6.94 Li.upf
In 114.82 In.upf
ATOMIC_POSITIONS crystal
W 0.500 0.500 0.250
Li 0.000 0.000 0.020
Li 0.000 0.000 0.480
In 0.500 0.500 0.750
CELL_PARAMETERS angstrom
2.750 0.000 0.000
0.000 4.448 0.000
0.000 0.000 5.629
```

SG: Pmmm
volume: 68.8 Å³/f.u.
formation energy: 458 meV per atom
magnetization: 0.00 μB/f.u.


Entry 16:
A plane-wave DFT calculation with PBE was carried out for a relaxed AcLa2PmSm2 crystal. Values from VASP.

Cell and atoms, written as Quantum ESPRESSO input:
```
&SYSTEM
  ibrav = 0, nat = 12, ntyp = 4
/
ATOMIC_SPECIES
La 138.91 La.upf
Pm 145.00 Pm.upf
Ac 227.00 Ac.upf
Sm 150.36 Sm.upf
ATOMIC_POSITIONS crystal
La 0.500 0.130 0.003
La 0.000 0.381 0.166
La 0.500 0.630 0.997
La 0.000 0.881 0.834
Pm 0.000 0.385 0.502
Pm 0.000 0.885 0.498
Ac 0.500 0.633 0.335
Ac 0.500 0.133 0.665
Sm 0.500 0.634 0.669
Sm 0.500 0.134 0.331
Sm 0.000 0.882 0.167
Sm 0.000 0.382 0.833
CELL_PARAMETERS angstrom
5.303 0.000 0.000
0.000 7.411 0.000
0.000 0.000 11.198
```

SG: Pmc2_1
volume: 220.0 Å³/f.u.
formation energy: 26 meV per atom
magnetization: 0.00 μB/f.u.


Entry 17:
A plane-wave DFT calculation with PBE was carried out for a relaxed TaBr crystal. Values from VASP.

Cell and atoms, written as Quantum ESPRESSO input:
```
&SYSTEM
  ibrav = 0, nat = 12, ntyp = 2
/
ATOMIC_SPECIES
Ta 180.95 Ta.upf
Br 79.90 Br.upf
ATOMIC_POSITIONS crystal
Ta 0.107 0.000 0.410
Ta 0.000 0.500 0.655
Ta 0.500 0.000 0.155
Ta 0.607 0.500 0.910
Ta 0.393 0.500 0.910
Ta 0.893 0.000 0.410
Br 0.500 0.500 0.549
Br 0.759 0.000 0.739
Br 0.259 0.500 0.239
Br 0.241 0.000 0.739
Br 0.000 0.000 0.049
Br 0.741 0.500 0.239
CELL_PARAMETERS angstrom
12.836 0.000 0.000
0.000 3.415 0.000
0.000 0.000 6.440
```

SG: Imm2
calculated total energy: -6.83 eV per atom
volume: 47.0 Å³/f.u.
magnetization: 0.00 μB/f.u.


Entry 18:
A plane-wave DFT calculation with PBE was carried out for a relaxed NbAsSeN2 crystal. Values from VASP.

Cell and atoms, written as Quantum ESPRESSO input:
```
&SYSTEM
  ibrav = 0, nat = 5, ntyp = 4
/
ATOMIC_SPECIES
Nb 92.91 Nb.upf
N 14.01 N.upf
Se 78.96 Se.upf
As 74.92 As.upf
ATOMIC_POSITIONS crystal
Nb 0.000 0.000 0.000
N 0.500 0.000 0.000
N 0.000 0.500 0.000
Se 0.000 0.000 0.500
As 0.500 0.500 0.500
CELL_PARAMETERS angstrom
4.012 0.000 0.000
0.000 4.012 0.000
0.000 0.000 5.525
```

SG: P4/mmm
volume: 88.9 Å³/f.u.
energy above the most stable polymorph in this dataset: 0.0 meV/atom
magnetization: 0.26 μB/f.u.